Material: MgReNi2Br
Method: DFT, PBE-GGA
State: relaxed

Unit cell a=4.357 b=4.859 c=4.357 alpha=90.00 beta=90.00 gamma=90.00
Site moments in Bohr magnetons follow the coordinates.
Fractional positions:
Re  0.500  0.500  0.500  2.63
Mg  0.000  0.500  0.000  -0.02
Br  0.000  0.000  0.000  0.04
Ni  0.000  0.000  0.500  0.21
Ni  0.500  0.000  0.000  0.23

Results
- Raw total energy: -20.20 eV per cell
- Theoretical density: 7.342 g/cm3

Material: MgNiRu2Br
Method: DFT, PBE-GGA
State: relaxed

Unit cell a=4.648 b=4.677 c=4.648 alpha=90.00 beta=90.00 gamma=90.00
Site moments in Bohr magnetons follow the coordinates.
Fractional positions:
Ru  0.000  0.000  0.500  2.01
Ru  0.500  0.000  0.000  1.55
Mg  0.500  0.500  0.500  -0.02
Br  0.000  0.500  0.000  0.08
Ni  0.000  0.000  0.000  0.70

Results
- Raw total energy: -22.05 eV per cell
- Theoretical density: 5.999 g/cm3

Material: MgNiSeBr2
Method: DFT, PBE-GGA
State: relaxed

Unit cell a=5.089 b=5.089 c=5.306 alpha=90.00 beta=90.00 gamma=90.00
Site moments in Bohr magnetons follow the coordinates.
Fractional positions:
Ni  0.500  0.500  0.500  1.11
Mg  0.000  0.000  0.000  0.00
Se  0.000  0.000  0.500  0.38
Br  0.000  0.500  0.000  0.07
Br  0.500  0.000  0.000  0.07

Results
- Raw total energy: -13.61 eV per cell
- Theoretical density: 3.888 g/cm3
- E above lowest polymorph: 317 meV/atom

Material: MgNiSe2Br
Method: DFT, PBE-GGA
State: relaxed

Unit cell a=5.065 b=5.065 c=5.100 alpha=90.00 beta=90.00 gamma=90.00
Site moments in Bohr magnetons follow the coordinates.
Fractional positions:
Ni  0.500  0.500  0.500  1.07
Mg  0.000  0.000  0.000  0.00
Se  0.000  0.500  0.000  0.30
Se  0.500  0.000  0.000  0.30
Br  0.000  0.000  0.500  0.16

Results
- Raw total energy: -14.03 eV per cell
- Theoretical density: 4.072 g/cm3
- E above lowest polymorph: 483 meV/atom

Material: MgNiSe2Br
Method: DFT, PBE-GGA
State: relaxed

Unit cell a=4.759 b=4.759 c=4.924 alpha=90.00 beta=90.00 gamma=90.00
Fractional positions:
Ni  0.000  0.000  0.000
Mg  0.500  0.500  0.500
Se  0.000  0.500  0.000
Se  0.500  0.000  0.000
Br  0.000  0.000  0.500

Results
- Raw total energy: -16.45 eV per cell
- Theoretical density: 4.777 g/cm3
- E above lowest polymorph: 0 meV/atom

Material: MgNiSeBr2
Method: DFT, PBE-GGA
State: relaxed

Unit cell a=4.793 b=4.793 c=5.072 alpha=90.00 beta=90.00 gamma=90.00
Fractional positions:
Ni  0.000  0.000  0.000
Mg  0.500  0.500  0.500
Se  0.000  0.000  0.500
Br  0.000  0.500  0.000
Br  0.500  0.000  0.000

Results
- Raw total energy: -15.19 eV per cell
- Theoretical density: 4.586 g/cm3
- E above lowest polymorph: 0 meV/atom

Material: MgNiSnBr2
Method: DFT, PBE-GGA
State: relaxed

Unit cell a=4.880 b=6.811 c=4.880 alpha=90.00 beta=90.00 gamma=90.00
Site moments in Bohr magnetons follow the coordinates.
Fractional positions:
Ni  0.500  0.500  0.500  0.95
Mg  0.000  0.000  0.000  -0.02
Sn  0.000  0.500  0.000  -0.32
Br  0.000  0.000  0.500  -0.03
Br  0.500  0.000  0.000  -0.03

Results
- Raw total energy: -13.24 eV per cell
- Theoretical density: 3.700 g/cm3

Material: MgTaNi2Br
Method: DFT, PBE-GGA
State: relaxed

Unit cell a=4.713 b=4.955 c=4.713 alpha=90.00 beta=90.00 gamma=90.00
Fractional positions:
Ni  0.000  0.000  0.500
Ni  0.500  0.000  0.000
Mg  0.500  0.500  0.500
Br  0.000  0.500  0.000
Ta  0.000  0.000  0.000

Results
- Raw total energy: -22.78 eV per cell
- Theoretical density: 6.072 g/cm3

Number 1: size of the total moment 3.4 μB/cell, formation energy from raw total energies 1415 meV/atom. Number 2: size of the total moment 4.5 μB/cell, formation energy from raw total energies 1110 meV/atom. Number 3: size of the total moment 2.0 μB/cell, formation energy from raw total energies 120 meV/atom. Number 4: size of the total moment 2.2 μB/cell, formation energy from raw total energies 397 meV/atom. Number 5: size of the total moment 0.0 μB/cell, formation energy from raw total energies -86 meV/atom. Number 6: size of the total moment 0.0 μB/cell, formation energy from raw total energies -197 meV/atom. Number 7: size of the total moment 0.1 μB/cell, formation energy from raw total energies 297 meV/atom. Number 8: size of the total moment 0.0 μB/cell, formation energy from raw total energies 781 meV/atom.